No. 1
The following is a DFT calculation (GGA-PBE) of a geometry-optimized ZrFeOs2 structure.

Cell and atoms, written as CIF:
```
data_ZrFeOs2
_chemical_formula_sum 'Zr1 Fe1 Os2'
_cell_length_a 2.8378
_cell_length_b 3.8423
_cell_length_c 5.7037
_cell_angle_alpha 90.00
_cell_angle_beta 90.00
_cell_angle_gamma 90.00
_space_group_name_H-M_alt 'P m m 2'
_space_group_IT_number 25
_space_group_name_Hall 'P 2 -2'
loop_
_atom_site_label
_atom_site_fract_x
_atom_site_fract_y
_atom_site_fract_z
Zr1 0.0000 0.0000 0.0000
Fe1 0.5000 0.5000 0.2665
Os1 0.0000 0.0000 0.4991
Os2 0.5000 0.5000 0.7058
```

Output
Energy relative to the elements (eV/atom): 0.06
ρ (g/cm³): 14.1


No. 2
The following is a DFT calculation (GGA-PBE) of a geometry-optimized CaHoHgIr structure.

Cell and atoms, written as CIF:
```
data_CaHoHgIr
_chemical_formula_sum 'Ca4 Ho4 Hg4 Ir4'
_cell_length_a 7.1080
_cell_length_b 7.1080
_cell_length_c 7.1080
_cell_angle_alpha 90.00
_cell_angle_beta 90.00
_cell_angle_gamma 90.00
_space_group_name_H-M_alt 'F -4 3 m'
_space_group_IT_number 216
_space_group_name_Hall 'F -4 2 3'
loop_
_atom_site_label
_atom_site_fract_x
_atom_site_fract_y
_atom_site_fract_z
Ca1 0.0000 0.0000 0.0000
Ho1 0.0000 0.0000 0.5000
Hg1 0.2500 0.2500 0.2500
Ir1 0.2500 0.2500 0.7500
```

Output
Energy relative to the elements (eV/atom): -0.48
ρ (g/cm³): 11.1


No. 3
The following is a DFT calculation (GGA-PBE) of a geometry-optimized Pa2Re3B4 structure.

Cell and atoms, written as CIF:
```
data_Pa2Re3B4
_chemical_formula_sum 'Pa8 Re12 B16'
_cell_length_a 5.8372
_cell_length_b 8.9634
_cell_length_c 9.8508
_cell_angle_alpha 90.00
_cell_angle_beta 90.00
_cell_angle_gamma 90.00
_space_group_name_H-M_alt 'F m m m'
_space_group_IT_number 69
_space_group_name_Hall '-F 2 2'
loop_
_atom_site_label
_atom_site_fract_x
_atom_site_fract_y
_atom_site_fract_z
Pa1 0.0000 0.0000 0.1496
Re1 0.0000 0.0000 0.5000
Re2 0.2500 0.2500 0.0000
B1 0.0000 0.2097 0.3312
```

Output
Energy relative to the elements (eV/atom): 0.04
ρ (g/cm³): 13.7


No. 4
The following is a DFT calculation (GGA-PBE) of a geometry-optimized Na2HfPW structure.

Cell and atoms, written as CIF:
```
data_Na2HfPW
_chemical_formula_sum 'Na2 Hf1 P1 W1'
_cell_length_a 4.9494
_cell_length_b 4.9494
_cell_length_c 5.0486
_cell_angle_alpha 90.00
_cell_angle_beta 90.00
_cell_angle_gamma 90.00
_space_group_name_H-M_alt 'P 4/m m m'
_space_group_IT_number 123
_space_group_name_Hall '-P 4 2'
loop_
_atom_site_label
_atom_site_fract_x
_atom_site_fract_y
_atom_site_fract_z
Na1 0.0000 0.5000 0.0000
Hf1 0.0000 0.0000 0.5000
P1 0.0000 0.0000 0.0000
W1 0.5000 0.5000 0.5000
```

Output
Energy relative to the elements (eV/atom): 1.07
ρ (g/cm³): 5.9


No. 5
The following is a DFT calculation (GGA-PBE) of a geometry-optimized Ho2MoWN6 structure.

Cell and atoms, written as CIF:
```
data_Ho2MoWN6
_chemical_formula_sum 'Ho2 Mo1 W1 N6'
_cell_length_a 5.3409
_cell_length_b 5.3409
_cell_length_c 4.7764
_cell_angle_alpha 90.00
_cell_angle_beta 90.00
_cell_angle_gamma 90.00
_space_group_name_H-M_alt 'P 4 m m'
_space_group_IT_number 99
_space_group_name_Hall 'P 4 -2'
loop_
_atom_site_label
_atom_site_fract_x
_atom_site_fract_y
_atom_site_fract_z
Ho1 0.0000 0.5000 0.0000
Mo1 0.0000 0.0000 0.5832
W1 0.5000 0.5000 0.5863
N1 0.0000 0.0000 0.2098
N2 0.2502 0.2502 0.7191
N3 0.5000 0.5000 0.2071
```

Output
ρ (g/cm³): 8.5
Energy relative to the elements, uncorrected (eV/f.u.): -8.524


No. 6
The following is a DFT calculation (GGA-PBE) of a geometry-optimized ScBeMo2 structure.

Cell and atoms, written as CIF:
```
data_ScBeMo2
_chemical_formula_sum 'Sc2 Be2 Mo4'
_cell_length_a 3.4334
_cell_length_b 4.3188
_cell_length_c 8.3267
_cell_angle_alpha 90.00
_cell_angle_beta 90.00
_cell_angle_gamma 90.00
_space_group_name_H-M_alt 'C m m 2'
_space_group_IT_number 35
_space_group_name_Hall 'C 2 -2'
loop_
_atom_site_label
_atom_site_fract_x
_atom_site_fract_y
_atom_site_fract_z
Sc1 0.0000 0.0000 0.0000
Be1 0.0000 0.5000 0.7546
Mo1 0.0000 0.0000 0.5498
Mo2 0.0000 0.5000 0.2835
```

Output
Energy relative to the elements (eV/atom): 0.18
ρ (g/cm³): 6.6


No. 7
The following is a DFT calculation (GGA-PBE) of a geometry-optimized TaSiIr2 structure.

Cell and atoms, written as CIF:
```
data_TaSiIr2
_chemical_formula_sum 'Ta4 Si4 Ir8'
_cell_length_a 5.5123
_cell_length_b 5.5123
_cell_length_c 11.3069
_cell_angle_alpha 90.00
_cell_angle_beta 90.00
_cell_angle_gamma 90.00
_space_group_name_H-M_alt 'I -4 2 d'
_space_group_IT_number 122
_space_group_name_Hall 'I -4 2bw'
loop_
_atom_site_label
_atom_site_fract_x
_atom_site_fract_y
_atom_site_fract_z
Ta1 0.0000 0.0000 0.0000
Si1 0.0000 0.0000 0.5000
Ir1 0.2206 0.2500 0.6250
```

Output
ρ (g/cm³): 11.5
Energy relative to the elements, uncorrected (eV/f.u.): 0.216


No. 8
The following is a DFT calculation (GGA-PBE) of a geometry-optimized Ac2UPd3Au12 structure.

Cell and atoms, written as CIF:
```
data_Ac2UPd3Au12
_chemical_formula_sum 'Ac6 U3 Pd9 Au36'
_cell_length_a 7.2262
_cell_length_b 7.2262
_cell_length_c 28.3281
_cell_angle_alpha 90.00
_cell_angle_beta 90.00
_cell_angle_gamma 120.00
_space_group_name_H-M_alt 'R -3 m'
_space_group_IT_number 166
_space_group_name_Hall '-R 3 2"'
loop_
_atom_site_label
_atom_site_fract_x
_atom_site_fract_y
_atom_site_fract_z
Ac1 0.0000 0.0000 0.1416
U1 0.0000 0.0000 0.5000
Pd1 0.0000 0.5000 0.0000
Au1 0.0181 0.5090 0.8974
Au2 0.0742 0.5371 0.6218
```

Output
Energy relative to the elements (eV/atom): -0.11
ρ (g/cm³): 13.1